[1]
16
Lattice="3.972 2.293 7.746 -3.972 2.293 7.746 0.000 -4.586 7.746" Properties=species:S:1:pos:R:3 comment="Nd8C3SI4 | the Alexandria database | PBE | optimized geometry" magmom_total_mub_per_atom=0.00 spacegroup=R-3m energy_ev_per_atom=-5.6674 rho_g_cm3=6.78 crystal_system=trigonal pbc="T T T"
Nd -2.114 -1.220 12.981
Nd 0.000 0.000 5.218
Nd 0.000 -2.441 10.258
Nd -2.114 1.220 10.258
Nd 2.114 -1.220 12.981
Nd 0.000 2.441 12.981
Nd 0.000 0.000 18.021
Nd 2.114 1.220 10.258
C -3.972 0.000 11.619
C -1.986 1.147 3.873
C 1.986 1.147 3.873
S 0.000 0.000 11.619
I 0.000 0.000 0.000
I -1.986 -1.147 7.746
I -1.986 1.147 15.492
I 0.000 2.293 7.746

[2]
4
Lattice="1.955 1.129 10.967 -1.955 1.129 10.967 0.000 -2.257 10.967" Properties=species:S:1:pos:R:3 comment="NaCa2Cd | the Alexandria database | PBE | optimized geometry" magmom_total_mub_per_atom=0.00 ef_kj_per_mol_atoms=-6 spacegroup=R3m energy_ev_per_atom=-1.6186 rho_g_cm3=2.46 crystal_system=trigonal pbc="T T T"
Na 0.000 0.000 0.000
Ca 0.000 0.000 18.792
Ca 0.000 0.000 25.059
Cd 0.000 0.000 5.474

[3]
4
Lattice="1.676 0.968 6.332 -1.676 0.968 6.332 0.000 -1.935 6.332" Properties=species:S:1:pos:R:3 comment="Be2SiBr | the Alexandria database | PBE | optimized geometry" magmom_total_mub_per_atom=0.00 e_above_lowest_polymorph_mev_per_atom=86 spacegroup=R-3m energy_ev_per_atom=-3.2596 rho_g_cm3=3.40 crystal_system=trigonal pbc="T T T"
Be 0.000 0.000 4.490
Be 0.000 0.000 14.505
Si 0.000 0.000 9.497
Br 0.000 0.000 0.000

[4]
10
Lattice="4.763 0.000 0.000 -2.381 4.124 0.000 0.000 0.000 10.966" Properties=species:S:1:pos:R:3 comment="Li2ScCd7 | the Alexandria database | PBE | optimized geometry" magmom_total_mub_per_atom=0.00 ef_kj_per_mol_atoms=-11 spacegroup=P3m1 energy_ev_per_atom=-1.7729 rho_g_cm3=6.52 crystal_system=trigonal pbc="T T T"
Li 0.000 0.000 0.000
Li 0.000 2.750 6.397
Sc 2.381 1.375 2.574
Cd 0.000 0.000 4.576
Cd 0.000 0.000 7.785
Cd 0.000 2.750 0.954
Cd 0.000 2.750 3.745
Cd 0.000 2.750 9.084
Cd 2.381 1.375 5.872
Cd 2.381 1.375 10.429